(1)
# PBE CeY2Ho8, relaxed
data_CeY2Ho8
_chemical_formula_sum 'Ce2 Y4 Ho16'
_cell_length_a 19.088
_cell_length_b 6.863
_cell_length_c 5.532
_cell_angle_alpha 90.00
_cell_angle_beta 92.93
_cell_angle_gamma 90.00
_space_group_name_H-M_alt 'C 1 2/m 1'
_space_group_IT_number 12
loop_
_space_group_symop_operation_xyz
'x,y,z'
'-x,-y,-z'
'-x,y,-z'
'x,-y,z'
'x+1/2,y+1/2,z'
'-x+1/2,-y+1/2,-z'
'-x+1/2,y+1/2,-z'
'x+1/2,-y+1/2,z'
loop_
_atom_site_label
_atom_site_type_symbol
_atom_site_fract_x
_atom_site_fract_y
_atom_site_fract_z
_atom_site_occupancy
Ce1 Ce 0.000 0.000 0.000 1
Y1 Y 0.216 0.500 0.249 1
Ho1 Ho 0.047 0.500 0.237 1
Ho2 Ho 0.132 0.265 0.733 1
Ho3 Ho 0.186 0.000 0.233 1
# - ΔE to the lowest computed polymorph: 138.2 meV per atom

(2)
CeY10Ho6 after structural relaxation. Source: Alexandria, functional PBE.

```
data_CeY10Ho6
_chemical_formula_sum 'Ce1 Y10 Ho6'
_cell_length_a 9.6500
_cell_length_b 9.6500
_cell_length_c 6.8379
_cell_angle_alpha 90.00
_cell_angle_beta 90.00
_cell_angle_gamma 120.00
_space_group_name_H-M_alt 'P -3 1 m'
_space_group_IT_number 162
_space_group_name_Hall '-P 3 2'
loop_
_atom_site_label
_atom_site_type_symbol
_atom_site_fract_x
_atom_site_fract_y
_atom_site_fract_z
_atom_site_occupancy
Ce1 Ce 0.0000 0.0000 0.0000 1
Y1 Y 0.0000 0.2736 0.6850 1
Y2 Y 0.3333 0.6667 0.0000 1
Y3 Y 0.3333 0.6667 0.5000 1
Ho1 Ho 0.0000 0.3777 0.1979 1
```

(3)
# PBE CeY7Ho3, relaxed
data_CeY7Ho3
_chemical_formula_sum 'Ce1 Y7 Ho3'
_cell_length_a 7.0674
_cell_length_b 7.0674
_cell_length_c 8.6033
_cell_angle_alpha 90.00
_cell_angle_beta 90.00
_cell_angle_gamma 120.00
_space_group_name_H-M_alt 'P 3 m 1'
_space_group_IT_number 156
loop_
_space_group_symop_operation_xyz
'x,y,z'
'-y,x-y,z'
'-x+y,-x,z'
'-y,-x,z'
'-x+y,y,z'
'x,x-y,z'
loop_
_atom_site_label
_atom_site_type_symbol
_atom_site_fract_x
_atom_site_fract_y
_atom_site_fract_z
_atom_site_occupancy
Ce1 Ce 0.0000 0.0000 0.0000 1
Y1 Y 0.0011 0.5005 0.0003 1
Y2 Y 0.3287 0.1644 0.3330 1
Y3 Y 0.3333 0.6667 0.3367 1
Ho1 Ho 0.1651 0.3301 0.6695 1
# - ΔE to the lowest computed polymorph: 55.6 meV per atom

(4)
# PBE CeY3Ho4, relaxed
data_CeY3Ho4
_chemical_formula_sum 'Ce2 Y6 Ho8'
_cell_length_a 11.634
_cell_length_b 13.072
_cell_length_c 3.346
_cell_angle_alpha 90.00
_cell_angle_beta 90.00
_cell_angle_gamma 90.00
_space_group_name_H-M_alt 'C m m m'
_space_group_IT_number 65
_space_group_name_Hall '-C 2 2'
loop_
_atom_site_label
_atom_site_type_symbol
_atom_site_fract_x
_atom_site_fract_y
_atom_site_fract_z
_atom_site_occupancy
Ce1 Ce 0.000 0.000 0.000 1
Y1 Y 0.000 0.500 0.000 1
Y2 Y 0.250 0.250 0.500 1
Ho1 Ho 0.000 0.237 0.000 1
Ho2 Ho 0.231 0.000 0.500 1
# - ΔE to the lowest computed polymorph: 231.3 meV per atom

(5)
# PBE CeYHo4, relaxed
data_CeYHo4
_chemical_formula_sum 'Ce2 Y2 Ho8'
_cell_length_a 17.159
_cell_length_b 3.557
_cell_length_c 6.165
_cell_angle_alpha 90.00
_cell_angle_beta 96.86
_cell_angle_gamma 90.00
_space_group_name_H-M_alt 'C 1 2/m 1'
_space_group_IT_number 12
loop_
_space_group_symop_operation_xyz
'x,y,z'
'-x,-y,-z'
'-x,y,-z'
'x,-y,z'
'x+1/2,y+1/2,z'
'-x+1/2,-y+1/2,-z'
'-x+1/2,y+1/2,-z'
'x+1/2,-y+1/2,z'
loop_
_atom_site_label
_atom_site_type_symbol
_atom_site_fract_x
_atom_site_fract_y
_atom_site_fract_z
_atom_site_occupancy
Ce1 Ce 0.000 0.000 0.000 1
Y1 Y 0.000 0.500 0.500 1
Ho1 Ho 0.166 0.500 0.891 1
Ho2 Ho 0.168 0.000 0.386 1
# - ΔE to the lowest computed polymorph: 0.0 meV per atom

(6)
# PBE CeYHo2, relaxed
data_CeYHo2
_chemical_formula_sum 'Ce1 Y1 Ho2'
_cell_length_a 3.5416
_cell_length_b 3.5416
_cell_length_c 11.3153
_cell_angle_alpha 90.00
_cell_angle_beta 90.00
_cell_angle_gamma 120.00
_space_group_name_H-M_alt 'P -3 m 1'
_space_group_IT_number 164
_space_group_name_Hall '-P 3 2"'
loop_
_atom_site_label
_atom_site_type_symbol
_atom_site_fract_x
_atom_site_fract_y
_atom_site_fract_z
_atom_site_occupancy
Ce1 Ce 0.0000 0.0000 0.0000 1
Y1 Y 0.0000 0.0000 0.5000 1
Ho1 Ho 0.3333 0.6667 0.2454 1
# - ΔE to the lowest computed polymorph: 0.0 meV per atom

(7)
# PBE CeYHo4, relaxed
data_CeYHo4
_chemical_formula_sum 'Ce4 Y4 Ho16'
_cell_length_a 6.621
_cell_length_b 11.465
_cell_length_c 10.047
_cell_angle_alpha 90.00
_cell_angle_beta 90.00
_cell_angle_gamma 90.00
_space_group_name_H-M_alt 'I m m a'
_space_group_IT_number 74
_space_group_name_Hall '-I 2b 2'
loop_
_atom_site_label
_atom_site_type_symbol
_atom_site_fract_x
_atom_site_fract_y
_atom_site_fract_z
_atom_site_occupancy
Ce1 Ce 0.000 0.000 0.000 1
Y1 Y 0.250 0.250 0.250 1
Ho1 Ho 0.000 0.004 0.668 1
Ho2 Ho 0.247 0.250 0.916 1
# - ΔE to the lowest computed polymorph: 252.3 meV per atom

(8)
Ce2Y7Ho2 after structural relaxation. Source: Alexandria, functional PBE.

```
data_Ce2Y7Ho2
_chemical_formula_sum 'Ce4 Y14 Ho4'
_cell_length_a 11.434
_cell_length_b 11.394
_cell_length_c 5.890
_cell_angle_alpha 90.00
_cell_angle_beta 111.21
_cell_angle_gamma 90.00
_space_group_name_H-M_alt 'C 1 2/m 1'
_space_group_IT_number 12
loop_
_space_group_symop_operation_xyz
'x,y,z'
'-x,-y,-z'
'-x,y,-z'
'x,-y,z'
'x+1/2,y+1/2,z'
'-x+1/2,-y+1/2,-z'
'-x+1/2,y+1/2,-z'
'x+1/2,-y+1/2,z'
loop_
_atom_site_label
_atom_site_type_symbol
_atom_site_fract_x
_atom_site_fract_y
_atom_site_fract_z
_atom_site_occupancy
Ce1 Ce 0.060 0.000 0.320 1
Y1 Y 0.000 0.500 0.500 1
Y2 Y 0.181 0.270 0.680 1
Y3 Y 0.223 0.500 0.101 1
Ho1 Ho 0.000 0.281 0.000 1
```

(9)
# PBE CeY3Ho, relaxed
data_CeY3Ho
_chemical_formula_sum 'Ce8 Y24 Ho8'
_cell_length_a 6.175
_cell_length_b 17.550
_cell_length_c 12.030
_cell_angle_alpha 90.00
_cell_angle_beta 97.15
_cell_angle_gamma 90.00
_space_group_name_H-M_alt 'C 1 2/c 1'
_space_group_IT_number 15
loop_
_space_group_symop_operation_xyz
'x,y,z'
'-x,-y,-z'
'-x,y,-z+1/2'
'x,-y,z+1/2'
'x+1/2,y+1/2,z'
'-x+1/2,-y+1/2,-z'
'-x+1/2,y+1/2,-z+1/2'
'x+1/2,-y+1/2,z+1/2'
loop_
_atom_site_label
_atom_site_type_symbol
_atom_site_fract_x
_atom_site_fract_y
_atom_site_fract_z
_atom_site_occupancy
Ce1 Ce 0.000 0.116 0.250 1
Ce2 Ce 0.000 0.236 0.750 1
Y1 Y 0.005 0.263 0.086 1
Y2 Y 0.099 0.407 0.899 1
Y3 Y 0.143 0.084 0.533 1
Ho1 Ho 0.225 0.444 0.185 1
# - ΔE to the lowest computed polymorph: 130.7 meV per atom

(10)
# PBE CeY2Ho, relaxed
data_CeY2Ho
_chemical_formula_sum 'Ce4 Y8 Ho4'
_cell_length_a 8.024
_cell_length_b 8.024
_cell_length_c 8.024
_cell_angle_alpha 90.00
_cell_angle_beta 90.00
_cell_angle_gamma 90.00
_space_group_name_H-M_alt 'F m -3 m'
_space_group_IT_number 225
_space_group_name_Hall '-F 4 2 3'
loop_
_atom_site_label
_atom_site_type_symbol
_atom_site_fract_x
_atom_site_fract_y
_atom_site_fract_z
_atom_site_occupancy
Ce1 Ce 0.000 0.000 0.000 1
Y1 Y 0.250 0.250 0.250 1
Ho1 Ho 0.000 0.000 0.500 1
# - ΔE to the lowest computed polymorph: 124.9 meV per atom

(11)
# PBE Ce2Y2Ho7, relaxed
data_Ce2Y2Ho7
_chemical_formula_sum 'Ce4 Y4 Ho14'
_cell_length_a 9.806
_cell_length_b 10.984
_cell_length_c 6.931
_cell_angle_alpha 90.00
_cell_angle_beta 110.46
_cell_angle_gamma 90.00
_space_group_name_H-M_alt 'C 1 2/m 1'
_space_group_IT_number 12
loop_
_space_group_symop_operation_xyz
'x,y,z'
'-x,-y,-z'
'-x,y,-z'
'x,-y,z'
'x+1/2,y+1/2,z'
'-x+1/2,-y+1/2,-z'
'-x+1/2,y+1/2,-z'
'x+1/2,-y+1/2,z'
loop_
_atom_site_label
_atom_site_type_symbol
_atom_site_fract_x
_atom_site_fract_y
_atom_site_fract_z
_atom_site_occupancy
Ce1 Ce 0.112 0.000 0.439 1
Y1 Y 0.000 0.340 0.000 1
Ho1 Ho 0.000 0.500 0.500 1
Ho2 Ho 0.174 0.248 0.689 1
Ho3 Ho 0.183 0.000 0.992 1
# - ΔE to the lowest computed polymorph: 65.7 meV per atom

(12)
# PBE CeYHo2, relaxed
data_CeYHo2
_chemical_formula_sum 'Ce3 Y3 Ho6'
_cell_length_a 3.5311
_cell_length_b 3.5311
_cell_length_c 34.5402
_cell_angle_alpha 90.00
_cell_angle_beta 90.00
_cell_angle_gamma 120.00
_space_group_name_H-M_alt 'R 3 m'
_space_group_IT_number 160
_space_group_name_Hall 'R 3 -2"'
loop_
_atom_site_label
_atom_site_type_symbol
_atom_site_fract_x
_atom_site_fract_y
_atom_site_fract_z
_atom_site_occupancy
Ce1 Ce 0.0000 0.0000 0.0000 1
Y1 Y 0.0000 0.0000 0.1656 1
Ho1 Ho 0.0000 0.0000 0.5828 1
Ho2 Ho 0.0000 0.0000 0.7492 1
# - ΔE to the lowest computed polymorph: 30.4 meV per atom

(13)
CeY5Ho6 after structural relaxation. Source: Alexandria, functional PBE.

```
data_CeY5Ho6
_chemical_formula_sum 'Ce2 Y10 Ho12'
_cell_length_a 5.021
_cell_length_b 10.025
_cell_length_c 15.067
_cell_angle_alpha 90.00
_cell_angle_beta 90.00
_cell_angle_gamma 90.00
_space_group_name_H-M_alt 'I m m m'
_space_group_IT_number 71
_space_group_name_Hall '-I 2 2'
loop_
_atom_site_label
_atom_site_type_symbol
_atom_site_fract_x
_atom_site_fract_y
_atom_site_fract_z
_atom_site_occupancy
Ce1 Ce 0.000 0.000 0.000 1
Y1 Y 0.000 0.000 0.333 1
Y2 Y 0.000 0.500 0.000 1
Y3 Y 0.000 0.500 0.333 1
Ho1 Ho 0.000 0.249 0.165 1
Ho2 Ho 0.000 0.253 0.500 1
```

(14)
# PBE CeY3Ho, relaxed
data_CeY3Ho
_chemical_formula_sum 'Ce2 Y6 Ho2'
_cell_length_a 3.606
_cell_length_b 8.467
_cell_length_c 11.097
_cell_angle_alpha 106.58
_cell_angle_beta 99.35
_cell_angle_gamma 90.01
_space_group_name_H-M_alt 'P -1'
_space_group_IT_number 2
loop_
_space_group_symop_operation_xyz
'x,y,z'
'-x,-y,-z'
loop_
_atom_site_label
_atom_site_type_symbol
_atom_site_fract_x
_atom_site_fract_y
_atom_site_fract_z
_atom_site_occupancy
Ce1 Ce 0.187 0.382 0.373 1
Y1 Y 0.017 0.216 0.034 1
Y2 Y 0.217 0.816 0.435 1
Y3 Y 0.416 0.415 0.832 1
Ho1 Ho 0.384 0.981 0.767 1
# - ΔE to the lowest computed polymorph: 0.0 meV per atom

(15)
# PBE CeY6Ho2, relaxed
data_CeY6Ho2
_chemical_formula_sum 'Ce4 Y24 Ho8'
_cell_length_a 8.517
_cell_length_b 9.035
_cell_length_c 15.371
_cell_angle_alpha 90.00
_cell_angle_beta 92.90
_cell_angle_gamma 90.00
_space_group_name_H-M_alt 'C 1 2/c 1'
_space_group_IT_number 15
loop_
_space_group_symop_operation_xyz
'x,y,z'
'-x,-y,-z'
'-x,y,-z+1/2'
'x,-y,z+1/2'
'x+1/2,y+1/2,z'
'-x+1/2,-y+1/2,-z'
'-x+1/2,y+1/2,-z+1/2'
'x+1/2,-y+1/2,z+1/2'
loop_
_atom_site_label
_atom_site_type_symbol
_atom_site_fract_x
_atom_site_fract_y
_atom_site_fract_z
_atom_site_occupancy
Ce1 Ce 0.000 0.233 0.250 1
Y1 Y 0.046 0.224 0.477 1
Y2 Y 0.187 0.445 0.882 1
Y3 Y 0.227 0.069 0.881 1
Ho1 Ho 0.137 0.244 0.686 1
# - ΔE to the lowest computed polymorph: 41.7 meV per atom

(16)
CeYHo14 after structural relaxation. Source: Alexandria, functional PBE.

```
data_CeYHo14
_chemical_formula_sum 'Ce2 Y2 Ho28'
_cell_length_a 11.227
_cell_length_b 7.201
_cell_length_c 12.470
_cell_angle_alpha 90.00
_cell_angle_beta 90.00
_cell_angle_gamma 90.00
_space_group_name_H-M_alt 'A m m 2'
_space_group_IT_number 38
loop_
_space_group_symop_operation_xyz
'x,y,z'
'-x,-y,z'
'-x,y,z'
'x,-y,z'
'x,y+1/2,z+1/2'
'-x,-y+1/2,z+1/2'
'-x,y+1/2,z+1/2'
'x,-y+1/2,z+1/2'
loop_
_atom_site_label
_atom_site_type_symbol
_atom_site_fract_x
_atom_site_fract_y
_atom_site_fract_z
_atom_site_occupancy
Ce1 Ce 0.000 0.000 0.000 1
Y1 Y 0.000 0.000 0.501 1
Ho1 Ho 0.000 0.249 0.749 1
Ho2 Ho 0.250 0.000 0.834 1
Ho3 Ho 0.251 0.248 0.082 1
Ho4 Ho 0.252 0.000 0.333 1
Ho5 Ho 0.500 0.000 0.000 1
Ho6 Ho 0.500 0.000 0.500 1
Ho7 Ho 0.500 0.250 0.250 1
```

(17)
CeY4Ho7 after structural relaxation. Source: Alexandria, functional PBE.

```
data_CeY4Ho7
_chemical_formula_sum 'Ce2 Y8 Ho14'
_cell_length_a 11.964
_cell_length_b 5.824
_cell_length_c 12.673
_cell_angle_alpha 90.00
_cell_angle_beta 117.73
_cell_angle_gamma 90.00
_space_group_name_H-M_alt 'C 1 2/m 1'
_space_group_IT_number 12
loop_
_space_group_symop_operation_xyz
'x,y,z'
'-x,-y,-z'
'-x,y,-z'
'x,-y,z'
'x+1/2,y+1/2,z'
'-x+1/2,-y+1/2,-z'
'-x+1/2,y+1/2,-z'
'x+1/2,-y+1/2,z'
loop_
_atom_site_label
_atom_site_type_symbol
_atom_site_fract_x
_atom_site_fract_y
_atom_site_fract_z
_atom_site_occupancy
Ce1 Ce 0.000 0.000 0.000 1
Y1 Y 0.131 0.500 0.775 1
Y2 Y 0.249 0.500 0.314 1
Ho1 Ho 0.000 0.500 0.000 1
Ho2 Ho 0.061 0.000 0.328 1
Ho3 Ho 0.134 0.500 0.502 1
Ho4 Ho 0.206 0.000 0.924 1
```

(18)
CeY9Ho4 after structural relaxation. Source: Alexandria, functional PBE.

```
data_CeY9Ho4
_chemical_formula_sum 'Ce2 Y18 Ho8'
_cell_length_a 9.7112
_cell_length_b 9.7112
_cell_length_c 11.2126
_cell_angle_alpha 90.00
_cell_angle_beta 90.00
_cell_angle_gamma 120.00
_space_group_name_H-M_alt 'P 63/m m c'
_space_group_IT_number 194
_space_group_name_Hall '-P 6c 2c'
loop_
_atom_site_label
_atom_site_type_symbol
_atom_site_fract_x
_atom_site_fract_y
_atom_site_fract_z
_atom_site_occupancy
Ce1 Ce 0.3333 0.6667 0.2500 1
Y1 Y 0.0802 0.5401 0.7500 1
Y2 Y 0.2096 0.4192 0.0305 1
Ho1 Ho 0.0000 0.0000 0.0000 1
Ho2 Ho 0.1114 0.2228 0.7500 1
```

(19)
CeY2Ho12 after structural relaxation. Source: Alexandria, functional PBE.

```
data_CeY2Ho12
_chemical_formula_sum 'Ce1 Y2 Ho12'
_cell_length_a 3.545
_cell_length_b 5.587
_cell_length_c 24.004
_cell_angle_alpha 90.00
_cell_angle_beta 94.18
_cell_angle_gamma 90.00
_space_group_name_H-M_alt 'P 1 2/m 1'
_space_group_IT_number 10
loop_
_space_group_symop_operation_xyz
'x,y,z'
'-x,-y,-z'
'-x,y,-z'
'x,-y,z'
loop_
_atom_site_label
_atom_site_type_symbol
_atom_site_fract_x
_atom_site_fract_y
_atom_site_fract_z
_atom_site_occupancy
Ce1 Ce 0.000 0.000 0.000 1
Y1 Y 0.357 0.000 0.719 1
Ho1 Ho 0.097 0.500 0.193 1
Ho2 Ho 0.167 0.500 0.330 1
Ho3 Ho 0.213 0.000 0.424 1
Ho4 Ho 0.277 0.500 0.556 1
Ho5 Ho 0.431 0.000 0.864 1
Ho6 Ho 0.467 0.500 0.933 1
```

Calculated values (eV/atom) of electronic total energy for the records, taken in order: -4.87 -5.62 -5.69 -5.03 -5.09 -5.36 -4.84 -5.81 -5.80 -5.69 -4.93 -5.33 -5.44 -5.93 -5.82 -4.76 -5.04 -5.71 -4.80.
Calculated values (meV/atom) of ΔE_f for the records, taken in order: 178 143 216 428 26 28 279 210 179 170 240 58 41 49 170 17 282 181 117.